Computed, not measured: ThTi2AlCo4 after structural relaxation at the GGA-PBE level of DFT.

abc: 8.6396 8.6396 8.6396
angles: 27.27 27.27 27.27
Last column: nearest neighbours and their distance in Å.
Sites, in units of the cell vectors:
Th: 0.0000 0.0000 0.0000  6 Co 2.92
Ti: 0.2351 0.2351 0.2351  7 Co 2.46-2.54
Ti: 0.7649 0.7649 0.7649  7 Co 2.46-2.54
Al: 0.5000 0.5000 0.5000  8 Co 2.43-2.49
Co: 0.1333 0.1333 0.1333  3 Al 2.49, 4 Ti 2.51-2.54
Co: 0.4026 0.4026 0.4026  1 Al 2.43, 3 Ti 2.46
Co: 0.5974 0.5974 0.5974  1 Al 2.43, 3 Ti 2.46
Co: 0.8667 0.8667 0.8667  3 Al 2.49, 4 Ti 2.51-2.54

Density (g cm⁻³): 8.21
Final energy (eV per atom): -7.34
Energy relative to the elements (eV/f.u.): -3.33
Crystal system: trigonal
Size of the total moment (μB/cell): 0.0
Symmetry: R-3m (166)


Computed, not measured: LiAl2Cu5 after structural relaxation at the GGA-PBE level of DFT.

abc: 5.3273 5.3273 7.1182
angles: 90.00 90.00 90.00
Last column: nearest neighbours and their distance in Å.
Sites, in units of the cell vectors:
Li: 0.0000 0.0000 0.0000  8 Cu 2.59, 4 Al 2.66
Li: 0.5000 0.5000 0.5000  8 Cu 2.59, 4 Al 2.66
Al: 0.0000 0.5000 0.0000  10 Cu 2.59-2.66, 2 Li 2.66
Al: 0.0000 0.5000 0.5000  10 Cu 2.59-2.66, 2 Li 2.66
Al: 0.5000 0.0000 0.0000  10 Cu 2.59-2.66, 2 Li 2.66
Al: 0.5000 0.0000 0.5000  10 Cu 2.59-2.66, 2 Li 2.66
Cu: 0.0000 0.0000 0.5000  8 Cu 2.59, 4 Al 2.66
Cu: 0.2500 0.2500 0.2500  4 Al 2.59, 2 Li 2.59, 6 Cu 2.59-2.66
Cu: 0.2500 0.2500 0.7500  4 Al 2.59, 2 Li 2.59, 6 Cu 2.59-2.66
Cu: 0.2500 0.7500 0.2500  4 Al 2.59, 2 Li 2.59, 6 Cu 2.59-2.66
Cu: 0.2500 0.7500 0.7500  4 Al 2.59, 2 Li 2.59, 6 Cu 2.59-2.66
Cu: 0.5000 0.5000 0.0000  8 Cu 2.59, 4 Al 2.66
Cu: 0.7500 0.2500 0.2500  4 Al 2.59, 2 Li 2.59, 6 Cu 2.59-2.66
Cu: 0.7500 0.2500 0.7500  4 Al 2.59, 2 Li 2.59, 6 Cu 2.59-2.66
Cu: 0.7500 0.7500 0.2500  4 Al 2.59, 2 Li 2.59, 6 Cu 2.59-2.66
Cu: 0.7500 0.7500 0.7500  4 Al 2.59, 2 Li 2.59, 6 Cu 2.59-2.66

Density (g cm⁻³): 6.22
Final energy (eV per atom): -3.90
Energy relative to the elements (eV/f.u.): -1.33
Energy above the lowest structure with this stoichiometry (meV/atom): 0
Crystal system: tetragonal
Size of the total moment (μB/cell): 0.0
Symmetry: I4/mmm (139)


Computed, not measured: V6ReTc5 after structural relaxation at the GGA-PBE level of DFT.

abc: 7.4068 7.4068 7.4068
angles: 146.35 131.68 60.17
Last column: nearest neighbours and their distance in Å.
Sites, in units of the cell vectors:
V: 0.0830 0.3332 0.7498  7 Tc 2.62-2.63, 1 Re 2.62
V: 0.2495 0.0000 0.2495  6 Tc 2.62, 2 Re 2.63
V: 0.4166 0.6668 0.7498  7 Tc 2.62-2.63, 1 Re 2.62
V: 0.5834 0.3332 0.2502  7 Tc 2.62-2.63, 1 Re 2.62
V: 0.7505 0.0000 0.7505  6 Tc 2.62, 2 Re 2.63
V: 0.9170 0.6668 0.2502  7 Tc 2.62-2.63, 1 Re 2.62
Re: 0.5000 0.5000 0.0000  8 V 2.62-2.63
Tc: 0.0000 0.5000 0.5000  8 V 2.62
Tc: 0.1669 0.1669 0.0000  8 V 2.62
Tc: 0.3335 0.8335 0.5000  8 V 2.62-2.63
Tc: 0.6665 0.1665 0.5000  8 V 2.62-2.63
Tc: 0.8331 0.8331 0.0000  8 V 2.62

Density (g cm⁻³): 9.79
Final energy (eV per atom): -10.28
Energy relative to the elements (eV/f.u.): -4.41
Crystal system: orthorhombic
Size of the total moment (μB/cell): 0.0
Symmetry: Immm (71)


Computed, not measured: SmUTe3 after structural relaxation at the GGA-PBE level of DFT.

abc: 9.0825 9.0825 9.0849
angles: 95.70 95.70 32.94
Last column: nearest neighbours and their distance in Å.
Sites, in units of the cell vectors:
Sm: 0.1193 0.1193 0.4232  5 Te 2.99-3.24
Sm: 0.8807 0.8807 0.5768  5 Te 2.99-3.24
U: 0.3517 0.3517 0.1281  6 Te 3.07-3.30
U: 0.6483 0.6483 0.8719  6 Te 3.07-3.30
Te: 0.0463 0.0463 0.7341  2 Sm 3.08-3.22, 2 U 3.30
Te: 0.1707 0.1707 0.0905  3 U 3.14-3.25, 1 Sm 3.24
Te: 0.3152 0.3152 0.4516  2 Sm 2.99, 1 U 3.07
Te: 0.6848 0.6848 0.5484  2 Sm 2.99, 1 U 3.07
Te: 0.8293 0.8293 0.9095  3 U 3.14-3.25, 1 Sm 3.24
Te: 0.9537 0.9537 0.2659  2 Sm 3.08-3.22, 2 U 3.30

Energy relative to the elements, uncorrected (meV/atom): -775
Density (g cm⁻³): 6.32
Final energy (eV per atom): -5.86
Crystal system: monoclinic
Size of the total moment (μB/cell): 6.0
Symmetry: C2/m (12)


Computed, not measured: Gd3Cd5H12 after structural relaxation at the GGA-PBE level of DFT.

abc: 11.0002 11.0002 11.0002
angles: 109.47 109.47 109.47
Last column: nearest neighbours and their distance in Å.
Sites, in units of the cell vectors:
Gd: 0.1250 0.2500 0.3750  8 H 2.29-2.30
Gd: 0.1250 0.3750 0.7500  8 H 2.29-2.30
Gd: 0.2500 0.3750 0.1250  8 H 2.29-2.30
Gd: 0.2500 0.8750 0.6250  8 H 2.29-2.30
Gd: 0.3750 0.1250 0.2500  8 H 2.29-2.30
Gd: 0.3750 0.7500 0.1250  8 H 2.29-2.30
Gd: 0.6250 0.2500 0.8750  8 H 2.29-2.30
Gd: 0.6250 0.8750 0.7500  8 H 2.29-2.30
Gd: 0.7500 0.1250 0.3750  8 H 2.29-2.30
Gd: 0.7500 0.6250 0.8750  8 H 2.29-2.30
Gd: 0.8750 0.6250 0.2500  8 H 2.29-2.30
Gd: 0.8750 0.7500 0.6250  8 H 2.29-2.30
Cd: 0.0000 0.0000 0.0000  6 H 2.35
Cd: 0.0000 0.0000 0.5000  6 H 2.35
Cd: 0.0000 0.5000 0.0000  6 H 2.35
Cd: 0.0000 0.5000 0.5000  6 H 2.35
Cd: 0.1250 0.7500 0.8750  4 H 1.97
Cd: 0.1250 0.8750 0.2500  4 H 1.97
Cd: 0.2500 0.1250 0.8750  4 H 1.97
Cd: 0.2500 0.6250 0.3750  4 H 1.97
Cd: 0.3750 0.2500 0.6250  4 H 1.97
Cd: 0.3750 0.6250 0.7500  4 H 1.97
Cd: 0.5000 0.0000 0.0000  6 H 2.35
Cd: 0.5000 0.0000 0.5000  6 H 2.35
Cd: 0.5000 0.5000 0.0000  6 H 2.35
Cd: 0.5000 0.5000 0.5000  6 H 2.35
Cd: 0.6250 0.3750 0.2500  4 H 1.97
Cd: 0.6250 0.7500 0.3750  4 H 1.97
Cd: 0.7500 0.3750 0.6250  4 H 1.97
Cd: 0.7500 0.8750 0.1250  4 H 1.97
Cd: 0.8750 0.1250 0.7500  4 H 1.97
Cd: 0.8750 0.2500 0.1250  4 H 1.97
H: 0.0586 0.2433 0.1513  1 Cd 1.97, 1 H 2.18
H: 0.0586 0.3153 0.9073  1 Cd 1.97, 1 H 2.18
H: 0.0920 0.7433 0.6847  1 Cd 1.97, 1 H 2.18
H: 0.0920 0.8487 0.4073  1 Cd 1.97, 1 H 2.18
H: 0.0927 0.6513 0.4080  1 Cd 1.97, 1 H 2.18
H: 0.0927 0.9414 0.6847  1 Cd 1.97, 1 H 2.18
H: 0.1513 0.0586 0.2433  1 Cd 1.97, 1 H 2.18
H: 0.1513 0.5927 0.9080  1 Cd 1.97, 1 H 2.18
H: 0.1847 0.2433 0.5920  1 Cd 1.97, 1 H 2.18
H: 0.1847 0.4414 0.5927  1 Cd 1.97, 1 H 2.18
H: 0.2433 0.1513 0.0586  1 Cd 1.97, 1 H 2.18
H: 0.2433 0.5920 0.1847  1 Cd 1.97, 1 H 2.18
H: 0.2567 0.3153 0.9080  1 Cd 1.97, 1 H 2.18
H: 0.2567 0.4414 0.3487  1 Cd 1.97, 1 H 2.18
H: 0.3153 0.9073 0.0586  1 Cd 1.97, 1 H 2.18
H: 0.3153 0.9080 0.2567  1 Cd 1.97, 1 H 2.18
H: 0.3487 0.2567 0.4414  1 Cd 1.97, 1 H 2.18
H: 0.3487 0.5920 0.9073  1 Cd 1.97, 1 H 2.18
H: 0.4073 0.0920 0.8487  1 Cd 1.97, 1 H 2.18
H: 0.4073 0.8153 0.5586  1 Cd 1.97, 1 H 2.18
H: 0.4080 0.0927 0.6513  1 Cd 1.97, 1 H 2.18
H: 0.4080 0.8153 0.7567  1 Cd 1.97, 1 H 2.18
H: 0.4414 0.3487 0.2567  1 Cd 1.97, 1 H 2.18
H: 0.4414 0.5927 0.1847  1 Cd 1.97, 1 H 2.18
H: 0.5586 0.4073 0.8153  1 Cd 1.97, 1 H 2.18
H: 0.5586 0.6513 0.7433  1 Cd 1.97, 1 H 2.18
H: 0.5920 0.1847 0.2433  1 Cd 1.97, 1 H 2.18
H: 0.5920 0.9073 0.3487  1 Cd 1.97, 1 H 2.18
H: 0.5927 0.1847 0.4414  1 Cd 1.97, 1 H 2.18
H: 0.5927 0.9080 0.1513  1 Cd 1.97, 1 H 2.18
H: 0.6513 0.4080 0.0927  1 Cd 1.97, 1 H 2.18
H: 0.6513 0.7433 0.5586  1 Cd 1.97, 1 H 2.18
H: 0.6847 0.0920 0.7433  1 Cd 1.97, 1 H 2.18
H: 0.6847 0.0927 0.9414  1 Cd 1.97, 1 H 2.18
H: 0.7433 0.5586 0.6513  1 Cd 1.97, 1 H 2.18
H: 0.7433 0.6847 0.0920  1 Cd 1.97, 1 H 2.18
H: 0.7567 0.4080 0.8153  1 Cd 1.97, 1 H 2.18
H: 0.7567 0.8487 0.9414  1 Cd 1.97, 1 H 2.18
H: 0.8153 0.5586 0.4073  1 Cd 1.97, 1 H 2.18
H: 0.8153 0.7567 0.4080  1 Cd 1.97, 1 H 2.18
H: 0.8487 0.4073 0.0920  1 Cd 1.97, 1 H 2.18
H: 0.8487 0.9414 0.7567  1 Cd 1.97, 1 H 2.18
H: 0.9073 0.0586 0.3153  1 Cd 1.97, 1 H 2.18
H: 0.9073 0.3487 0.5920  1 Cd 1.97, 1 H 2.18
H: 0.9080 0.1513 0.5927  1 Cd 1.97, 1 H 2.18
H: 0.9080 0.2567 0.3153  1 Cd 1.97, 1 H 2.18
H: 0.9414 0.6847 0.0927  1 Cd 1.97, 1 H 2.18
H: 0.9414 0.7567 0.8487  1 Cd 1.97, 1 H 2.18

Density (g cm⁻³): 6.78
Final energy (eV per atom): -4.39
Crystal system: cubic
Size of the total moment (μB/cell): 82.5
Symmetry: Ia-3d (230)


Computed, not measured: CsCrIn2 after structural relaxation at the GGA-PBE level of DFT.

abc: 7.9504 7.9504 7.9504
angles: 90.00 90.00 90.00
Last column: nearest neighbours and their distance in Å.
Sites, in units of the cell vectors:
Cs: 0.0000 0.0000 0.0000  8 In 3.44
Cs: 0.0000 0.5000 0.5000  8 In 3.44
Cs: 0.5000 0.0000 0.5000  8 In 3.44
Cs: 0.5000 0.5000 0.0000  8 In 3.44
Cr: 0.0000 0.0000 0.5000  8 In 3.44
Cr: 0.0000 0.5000 0.0000  8 In 3.44
Cr: 0.5000 0.0000 0.0000  8 In 3.44
Cr: 0.5000 0.5000 0.5000  8 In 3.44
In: 0.2500 0.2500 0.2500  4 Cr 3.44, 4 Cs 3.44
In: 0.2500 0.2500 0.7500  4 Cr 3.44, 4 Cs 3.44
In: 0.2500 0.7500 0.2500  4 Cr 3.44, 4 Cs 3.44
In: 0.2500 0.7500 0.7500  4 Cr 3.44, 4 Cs 3.44
In: 0.7500 0.2500 0.2500  4 Cr 3.44, 4 Cs 3.44
In: 0.7500 0.2500 0.7500  4 Cr 3.44, 4 Cs 3.44
In: 0.7500 0.7500 0.2500  4 Cr 3.44, 4 Cs 3.44
In: 0.7500 0.7500 0.7500  4 Cr 3.44, 4 Cs 3.44

Density (g cm⁻³): 5.48
Final energy (eV per atom): -3.34
Energy relative to the elements (eV/f.u.): 2.58
Energy above the lowest structure with this stoichiometry (meV/atom): 165
Crystal system: cubic
Size of the total moment (μB/cell): 18.6
Symmetry: Fm-3m (225)


- Among the records above, which one has the highest density?
  V6ReTc5


- What is the size of the total moment in the fifth record?
  82.5 μB/cell


- The lowest density belongs to which entry?
  CsCrIn2


What did the fourth record say?
Computed, not measured: SmUTe3 after structural relaxation at the GGA-PBE level of DFT.

abc: 9.0825 9.0825 9.0849
angles: 95.70 95.70 32.94
Last column: nearest neighbours and their distance in Å.
Sites, in units of the cell vectors:
Sm: 0.1193 0.1193 0.4232  5 Te 2.99-3.24
Sm: 0.8807 0.8807 0.5768  5 Te 2.99-3.24
U: 0.3517 0.3517 0.1281  6 Te 3.07-3.30
U: 0.6483 0.6483 0.8719  6 Te 3.07-3.30
Te: 0.0463 0.0463 0.7341  2 Sm 3.08-3.22, 2 U 3.30
Te: 0.1707 0.1707 0.0905  3 U 3.14-3.25, 1 Sm 3.24
Te: 0.3152 0.3152 0.4516  2 Sm 2.99, 1 U 3.07
Te: 0.6848 0.6848 0.5484  2 Sm 2.99, 1 U 3.07
Te: 0.8293 0.8293 0.9095  3 U 3.14-3.25, 1 Sm 3.24
Te: 0.9537 0.9537 0.2659  2 Sm 3.08-3.22, 2 U 3.30

Energy relative to the elements, uncorrected (meV/atom): -775
Density (g cm⁻³): 6.32
Final energy (eV per atom): -5.86
Crystal system: monoclinic
Size of the total moment (μB/cell): 6.0
Symmetry: C2/m (12)